No. 1
Entry from OQMD via LeMat-Bulk: a geometry-optimized LaPrNCl structure (PBE).

Results
- total DFT energy (no corrections) (Ha/atom) = -0.2405

Cell lengths 3.7177, 3.7177, 14.3021 Å; angles 90.00, 90.00, 120.00 degrees
Space group P-6m2 (No. 187)
Symmetry-distinct sites (fractional):
La  0.0000  0.0000  0.1564
Pr  0.3333  0.6667  0.3463
N  0.6667  0.3333  0.2518
Cl  0.0000  0.0000  0.5000
Cl  0.3333  0.6667  0.0000

=====

No. 2
Entry from OQMD via LeMat-Bulk: a geometry-optimized SmAs2 structure (PBE).

Results
- total DFT energy (no corrections) (Ha/atom) = -0.1499

Cell lengths 13.1832, 13.1832, 13.1832 Å; angles 90.00, 90.00, 90.00 degrees
Space group Fd-3m (No. 227, origin choice 2)
Symmetry-distinct sites (fractional):
Sm  0.1250  0.1250  0.1250
As  0.0000  0.0000  0.0000

=====

No. 3
Entry from OQMD via LeMat-Bulk: a geometry-optimized GdMgZn structure (PBE).

Results
- total DFT energy (no corrections) (Ha/atom) = -0.0993

Cell lengths 4.9793, 4.9793, 9.3578 Å; angles 90.00, 90.00, 120.00 degrees
Space group P3m1 (No. 156)
Symmetry-distinct sites (fractional):
Gd  0.0000  0.0000  0.0000
Gd  0.3333  0.6667  0.1903
Gd  0.6667  0.3333  0.5441
Mg  0.0000  0.0000  0.3521
Mg  0.0000  0.0000  0.6716
Mg  0.3333  0.6667  0.8059
Zn  0.3333  0.6667  0.5023
Zn  0.6667  0.3333  0.2013
Zn  0.6667  0.3333  0.8862

=====

No. 4
Entry from OQMD via LeMat-Bulk: a geometry-optimized Gd2YSn3Pb4 structure (PBE).

Results
- E above lowest polymorph (meV per atom) = 17

Cell lengths 4.5566, 26.9421, 4.5186 Å; angles 90.00, 90.00, 90.00 degrees
Space group Cmmm (No. 65)
Symmetry-distinct sites (fractional):
Gd  0.0000  0.1889  0.0000
Y  0.0000  0.5000  0.5000
Sn  0.0000  0.0000  0.0000
Sn  0.0000  0.0958  0.5000
Pb  0.0000  0.2909  0.5000
Pb  0.0000  0.4039  0.0000

=====

No. 5
Entry from OQMD via LeMat-Bulk: a geometry-optimized DyAsPbO structure (PBE).

Results
- E above lowest polymorph (meV per atom) = 0

Cell lengths 4.2818, 4.2818, 9.5765 Å; angles 90.00, 90.00, 90.00 degrees
Space group P4/nmm (No. 129, origin choice 2)
Symmetry-distinct sites (fractional):
Dy  0.2500  0.2500  0.0927
As  0.2500  0.2500  0.7343
Pb  0.2500  0.7500  0.5000
O  0.2500  0.7500  0.0000

=====

No. 6
Entry from OQMD via LeMat-Bulk: a geometry-optimized YTlCuRe structure (PBE).

Results
- E above lowest polymorph (meV per atom) = 160

Cell lengths 6.8097, 6.8097, 6.8097 Å; angles 90.00, 90.00, 90.00 degrees
Space group F-43m (No. 216)
Symmetry-distinct sites (fractional):
Y  0.0000  0.0000  0.0000
Tl  0.2500  0.2500  0.2500
Cu  0.0000  0.0000  0.5000
Re  0.2500  0.2500  0.7500

=====

No. 7
Entry from OQMD via LeMat-Bulk: a geometry-optimized ZrNbAs2 structure (PBE).

Results
- total DFT energy (no corrections) (Ha/atom) = -0.2572

Cell lengths 6.6652, 6.6652, 6.6652 Å; angles 90.00, 90.00, 90.00 degrees
Space group F-43m (No. 216)
Symmetry-distinct sites (fractional):
Zr  0.0000  0.0000  0.0000
Nb  0.2500  0.2500  0.7500
As  0.0000  0.0000  0.5000
As  0.2500  0.2500  0.2500

=====

No. 8
Entry from OQMD via LeMat-Bulk: a geometry-optimized GdTlO3 structure (PBE).

Results
- total DFT energy (no corrections) (Ha/atom) = -0.2297

Cell lengths 5.9966, 5.9966, 13.9402 Å; angles 90.00, 90.00, 120.00 degrees
Space group R-3c (No. 167, hexagonal axes)
Symmetry-distinct sites (fractional):
Gd  0.0000  0.0000  0.2500
Tl  0.0000  0.0000  0.0000
O  0.0000  0.3659  0.2500